[1]
The following is a meta-GGA SCAN calculation of a PBEsol-optimized structure of P6Pb10O25, from Alexandria via LeMat-Bulk.

Cell and atoms, written as CIF:
```
data_P6Pb10O25
_chemical_formula_sum 'P12 Pb20 O50'
_symmetry_space_group_name_H-M 'P 1 21 1'
_symmetry_Int_Tables_number 4
_cell_length_a 9.836
_cell_length_b 7.361
_cell_length_c 17.022
_cell_angle_alpha 90.00
_cell_angle_beta 90.11
_cell_angle_gamma 90.00
loop_
_symmetry_equiv_pos_as_xyz
'x,y,z'
'-x,y+1/2,-z'
loop_
_atom_site_label
_atom_site_fract_x
_atom_site_fract_y
_atom_site_fract_z
_atom_site_occupancy
P1 0.032 0.000 0.061 1
P2 0.073 0.999 0.453 1
P3 0.137 0.999 0.737 1
P4 0.362 0.499 0.767 1
P5 0.413 0.499 0.056 1
P6 0.463 0.499 0.432 1
Pb1 0.014 0.998 0.250 1
Pb2 0.117 0.499 0.377 1
Pb3 0.119 0.499 0.124 1
Pb4 0.257 0.249 0.917 1
Pb5 0.257 0.744 0.583 1
Pb6 0.257 0.750 0.918 1
Pb7 0.259 0.253 0.584 1
Pb8 0.360 0.998 0.135 1
Pb9 0.362 0.998 0.363 1
Pb10 0.499 0.998 0.751 1
O1 0.027 0.829 0.115 1
O2 0.028 0.171 0.115 1
O3 0.057 0.831 0.706 1
O4 0.058 0.168 0.706 1
O5 0.073 0.999 0.546 1
O6 0.075 0.498 0.576 1
O7 0.103 0.500 0.990 1
O8 0.153 0.169 0.426 1
O9 0.153 0.827 0.427 1
O10 0.154 0.999 0.827 1
O11 0.156 0.999 0.006 1
O12 0.229 0.501 0.816 1
O13 0.244 0.993 0.249 1
O14 0.282 0.998 0.698 1
O15 0.331 0.332 0.084 1
O16 0.331 0.669 0.083 1
O17 0.332 0.498 0.678 1
O18 0.339 0.499 0.488 1
O19 0.401 0.997 0.521 1
O20 0.420 0.498 0.964 1
O21 0.441 0.000 0.909 1
O22 0.445 0.328 0.792 1
O23 0.446 0.670 0.791 1
O24 0.461 0.330 0.377 1
O25 0.463 0.669 0.377 1
```

Calculated values
Formation energy without anion corrections   -2.016 eV/atom
Density of states at the Fermi level   0.00 states/eV/cell

[2]
The following is a meta-GGA SCAN calculation of a PBEsol-optimized structure of MgH6N2Cl2, from Alexandria via LeMat-Bulk.

Cell and atoms, written as CIF:
```
data_MgH6N2Cl2
_chemical_formula_sum 'Mg4 H24 N8 Cl8'
_symmetry_space_group_name_H-M 'I m m a'
_symmetry_Int_Tables_number 74
_symmetry_space_group_name_Hall '-I 2b 2'
_cell_length_a 7.450
_cell_length_b 8.043
_cell_length_c 8.033
_cell_angle_alpha 90.00
_cell_angle_beta 90.00
_cell_angle_gamma 90.00
loop_
_atom_site_label
_atom_site_fract_x
_atom_site_fract_y
_atom_site_fract_z
_atom_site_occupancy
Mg1 0.000 0.250 0.244 1
H1 0.000 0.075 0.655 1
H2 0.109 0.062 0.833 1
N1 0.000 0.016 0.769 1
Cl1 0.240 0.250 0.468 1
```

Calculated values
Density of states at the Fermi level   0.00 states/eV/cell
VASP energy   -0.235 Ha/atom

[3]
The following is a meta-GGA SCAN calculation of a PBEsol-optimized structure of ScAl2Hg, from Alexandria via LeMat-Bulk.

Cell and atoms, written as CIF:
```
data_ScAl2Hg
_chemical_formula_sum 'Sc1 Al2 Hg1'
_symmetry_space_group_name_H-M 'P 4/m m m'
_symmetry_Int_Tables_number 123
_symmetry_space_group_name_Hall '-P 4 2'
_cell_length_a 4.192
_cell_length_b 4.192
_cell_length_c 4.090
_cell_angle_alpha 90.00
_cell_angle_beta 90.00
_cell_angle_gamma 90.00
loop_
_atom_site_label
_atom_site_fract_x
_atom_site_fract_y
_atom_site_fract_z
_atom_site_occupancy
Sc1 0.000 0.000 0.000 1
Al1 0.000 0.500 0.500 1
Hg1 0.500 0.500 0.000 1
```

Calculated values
Formation energy from the elements   -0.47 eV per atom
Density of states at the Fermi level   1.73 states/eV/cell

[4]
The following is a meta-GGA SCAN calculation of a PBEsol-optimized structure of La3BCCl3, from Alexandria via LeMat-Bulk.

Cell and atoms, written as CIF:
```
data_La3BCCl3
_chemical_formula_sum 'La6 B2 C2 Cl6'
_symmetry_space_group_name_H-M 'P 1 21/m 1'
_symmetry_Int_Tables_number 11
_cell_length_a 8.199
_cell_length_b 3.707
_cell_length_c 11.196
_cell_angle_alpha 90.00
_cell_angle_beta 100.90
_cell_angle_gamma 90.00
loop_
_symmetry_equiv_pos_as_xyz
'x,y,z'
'-x,-y,-z'
'-x,y+1/2,-z'
'x,-y+1/2,z'
loop_
_atom_site_label
_atom_site_fract_x
_atom_site_fract_y
_atom_site_fract_z
_atom_site_occupancy
La1 0.108 0.250 0.312 1
La2 0.216 0.250 0.900 1
La3 0.296 0.750 0.612 1
B1 0.034 0.250 0.541 1
C1 0.107 0.250 0.683 1
Cl1 0.144 0.750 0.096 1
Cl2 0.406 0.750 0.375 1
Cl3 0.471 0.750 0.864 1
```

Calculated values
Formation energy without anion corrections   -1.671 eV/atom
Density of states at the Fermi level   4.88 states/eV/cell